## Cs2CeTmS4 (GGA-PBE)

Data for a geometry-optimized Cs2CeTmS4 structure.

Cell lengths 4.1639, 7.2153, 8.4023 Å; angles 106.56, 90.00, 90.00 degrees
Site moments in Bohr magnetons follow the coordinates.
Fractional positions:
Cs (0.5000, 0.0000, 0.5000)  0.00
Cs (0.0000, 0.5000, 0.5000)  0.00
Ce (0.5000, 0.5000, 0.0000)  0.92
Tm (0.0000, 0.0000, 0.0000)  0.01
S (0.5000, 0.2168, 0.1803)  -0.01
S (0.5000, 0.7832, 0.8197)  -0.01
S (0.0000, 0.2613, 0.8166)  -0.01
S (0.0000, 0.7387, 0.1834)  -0.01

Properties
SG: P2/m, No. 10
Energy relative to the elements, uncorrected (meV per atom): -1779

---

## DyEr3Tm2 (GGA-PBE)

Data for a geometry-optimized DyEr3Tm2 structure.

Cell lengths 5.4996, 8.8175, 8.8175 Å; angles 112.15, 90.00, 90.00 degrees
Fractional positions:
Dy (0.9929, 0.7285, 0.7285)
Dy (0.4929, 0.2715, 0.2715)
Er (0.9932, 0.8889, 0.3707)
Er (0.4932, 0.6293, 0.1111)
Er (0.9932, 0.3707, 0.8889)
Er (0.4932, 0.1111, 0.6293)
Er (0.4927, 0.9096, 0.9096)
Er (0.9927, 0.0904, 0.0904)
Tm (0.4930, 0.7083, 0.4906)
Tm (0.9930, 0.5094, 0.2917)
Tm (0.4930, 0.4906, 0.7083)
Tm (0.9930, 0.2917, 0.5094)

Properties
SG: Cmcm, No. 63
ΔE_f (eV per atom): 0.335
E above lowest polymorph (eV per atom): 0.311